Record 1
{
  "formula": "Ta2Cu",
  "functional": "PBE",
  "state": "optimized geometry",
  "cell": [[0.000, 5.365, 5.365], [5.365, 0.000, 5.365], [5.365, 5.365, 0.000]],
  "species": ["Ta", "Ta", "Ta", "Ta", "Cu", "Cu"],
  "frac_coords": [[0.000, 0.000, 0.000], [0.000, 0.000, 0.500], [0.000, 0.500, 0.000], [0.500, 0.000, 0.000], [0.125, 0.125, 0.125], [0.875, 0.875, 0.875]],
  "m_tot_mub_per_atom": 1.27,
  "density_g_cm3": 4.57,
  "delta_e_f_ev_per_atom": 3.79,
  "dft_energy_ev_per_atom": -5.349
}

---

Record 2
{
  "formula": "TaCu5",
  "functional": "PBE",
  "state": "optimized geometry",
  "cell": [[4.634, -7.312, 0.000], [4.634, 7.312, 0.000], [-1.502, 0.000, 4.665]],
  "species": ["Ta", "Ta", "Ta", "Ta", "Cu", "Cu", "Cu", "Cu", "Cu", "Cu", "Cu", "Cu", "Cu", "Cu", "Cu", "Cu", "Cu", "Cu", "Cu", "Cu", "Cu", "Cu", "Cu", "Cu"],
  "frac_coords": [[0.248, 0.752, 0.000], [0.259, 0.259, 0.319], [0.741, 0.741, 0.681], [0.752, 0.248, 0.000], [0.028, 0.762, 0.589], [0.051, 0.051, 0.785], [0.081, 0.391, 0.927], [0.142, 0.558, 0.421], [0.238, 0.972, 0.411], [0.318, 0.318, 0.856], [0.391, 0.081, 0.927], [0.407, 0.589, 0.251], [0.411, 0.593, 0.749], [0.442, 0.858, 0.579], [0.558, 0.142, 0.421], [0.589, 0.407, 0.251], [0.593, 0.411, 0.749], [0.609, 0.919, 0.073], [0.682, 0.682, 0.144], [0.762, 0.028, 0.589], [0.858, 0.442, 0.579], [0.919, 0.609, 0.073], [0.949, 0.949, 0.215], [0.972, 0.238, 0.411]],
  "m_tot_mub_per_atom": 0.00,
  "density_g_cm3": 10.48,
  "delta_e_f_ev_per_atom": 0.26,
  "dft_energy_ev_per_atom": -4.808
}

---

Record 3
{
  "formula": "Ta2Cu",
  "functional": "PBE",
  "state": "optimized geometry",
  "cell": [[0.000, 3.788, 3.788], [3.788, 0.000, 3.788], [3.788, 3.788, 0.000]],
  "species": ["Ta", "Ta", "Ta", "Ta", "Cu", "Cu"],
  "frac_coords": [[0.000, 0.000, 0.000], [0.000, 0.000, 0.500], [0.000, 0.500, 0.000], [0.500, 0.000, 0.000], [0.375, 0.375, 0.375], [0.625, 0.625, 0.625]],
  "m_tot_mub_per_atom": 0.00,
  "density_g_cm3": 13.00,
  "delta_e_f_ev_per_atom": 0.71,
  "dft_energy_ev_per_atom": -8.428
}

---

Record 4
{
  "formula": "Tb2Ta2Cu",
  "functional": "PBE",
  "state": "optimized geometry",
  "cell": [[0.000, 6.044, 7.483], [2.592, 0.000, 7.483], [2.592, 6.044, 0.000]],
  "species": ["Tb", "Tb", "Tb", "Tb", "Ta", "Ta", "Ta", "Ta", "Cu", "Cu"],
  "frac_coords": [[0.000, 0.000, 0.000], [0.000, 0.000, 0.500], [0.000, 0.500, 0.000], [0.500, 0.000, 0.000], [0.266, 0.484, 0.266], [0.484, 0.266, 0.484], [0.516, 0.734, 0.516], [0.734, 0.516, 0.734], [0.125, 0.125, 0.125], [0.875, 0.875, 0.875]],
  "m_tot_mub_per_atom": 0.00,
  "density_g_cm3": 10.53,
  "delta_e_f_ev_per_atom": 1.21,
  "dft_energy_ev_per_atom": -6.126
}

---

Record 5
{
  "formula": "TaCuTc2",
  "functional": "PBE",
  "state": "optimized geometry",
  "cell": [[0.000, 3.100, 3.100], [3.100, 0.000, 3.100], [3.100, 3.100, 0.000]],
  "species": ["Ta", "Cu", "Tc", "Tc"],
  "frac_coords": [[0.000, 0.000, 0.000], [0.250, 0.250, 0.250], [0.500, 0.500, 0.500], [0.750, 0.750, 0.750]],
  "m_tot_mub_per_atom": 0.00,
  "density_g_cm3": 12.27,
  "delta_e_f_ev_per_atom": 0.14,
  "dft_energy_ev_per_atom": -8.932
}

---

Record 6
{
  "formula": "TaTlCuTc",
  "functional": "PBE",
  "state": "optimized geometry",
  "cell": [[0.000, 3.239, 3.239], [3.239, 0.000, 3.239], [3.239, 3.239, 0.000]],
  "species": ["Ta", "Tl", "Cu", "Tc"],
  "frac_coords": [[0.000, 0.000, 0.000], [0.250, 0.250, 0.250], [0.500, 0.500, 0.500], [0.750, 0.750, 0.750]],
  "m_tot_mub_per_atom": 0.00,
  "density_g_cm3": 13.36,
  "de_polymorph_mev_per_atom": 152.3,
  "dft_energy_ev_per_atom": -6.501
}

---

Record 7
{
  "formula": "TaTlCuTc",
  "functional": "PBE",
  "state": "optimized geometry",
  "cell": [[0.000, 3.232, 3.232], [3.232, 0.000, 3.232], [3.232, 3.232, 0.000]],
  "species": ["Ta", "Tl", "Cu", "Tc"],
  "frac_coords": [[0.000, 0.000, 0.000], [0.500, 0.500, 0.500], [0.750, 0.750, 0.750], [0.250, 0.250, 0.250]],
  "m_tot_mub_per_atom": 0.00,
  "density_g_cm3": 13.45,
  "de_polymorph_mev_per_atom": 0.0,
  "dft_energy_ev_per_atom": -6.653
}

---

Record 8
{
  "formula": "TaCu2Te2",
  "functional": "PBE",
  "state": "optimized geometry",
  "cell": [[-2.553, 2.553, 3.808], [2.553, -2.553, 3.808], [2.553, 2.553, -3.808]],
  "species": ["Ta", "Cu", "Cu", "Te", "Te"],
  "frac_coords": [[0.000, 0.000, 0.000], [0.347, 0.347, 0.000], [0.653, 0.653, 0.000], [0.250, 0.750, 0.500], [0.750, 0.250, 0.500]],
  "m_tot_mub_per_atom": 0.18,
  "density_g_cm3": 9.42,
  "de_polymorph_mev_per_atom": 271.9,
  "dft_energy_ev_per_atom": -4.598
}